Record 1
Tb2PrNd3Te6 PBE-GGA optimized geometry; theoretical density = 7.3 g/cm3; formation energy without anion corrections = -1.39 eV per atom; symmetry = C2/m; magnetization = 0.00 μB per cell
1.0
9.726 -2.216 0.000
9.726 2.216 0.000
-2.062 0.000 8.751
Tb Pr Nd Te
2 1 3 6
Direct
0.165 0.165 0.330 Tb
0.835 0.835 0.670 Tb
0.500 0.500 0.000 Pr
0.162 0.162 0.832 Nd
0.500 0.500 0.500 Nd
0.838 0.838 0.168 Nd
0.004 0.004 0.254 Te
0.330 0.330 0.422 Te
0.330 0.330 0.908 Te
0.670 0.670 0.092 Te
0.670 0.670 0.578 Te
0.996 0.996 0.746 Te


Record 2
Sr2PrAg6 PBE-GGA optimized geometry; theoretical density = 6.8 g/cm3; calculated formation energy = -0.26 eV/atom; symmetry = P6/mmm; magnetization = 0.00 μB per cell
1.0
8.412 0.000 0.000
-4.206 7.285 0.000
0.000 0.000 3.827
Sr Pr Ag
2 1 6
Direct
0.333 0.667 0.000 Sr
0.667 0.333 0.000 Sr
0.000 0.000 0.000 Pr
0.000 0.331 0.500 Ag
0.000 0.669 0.500 Ag
0.331 0.000 0.500 Ag
0.331 0.331 0.500 Ag
0.669 0.000 0.500 Ag
0.669 0.669 0.500 Ag


Record 3
IrRuPb PBE-GGA optimized geometry; theoretical density = 15.1 g/cm3; calculated formation energy = 0.52 eV/atom; symmetry = I4mm; magnetization = 0.00 μB per cell; energy relative to the lowest polymorph listed for this composition = 0.0 meV per atom
1.0
-1.524 1.524 5.916
1.524 -1.524 5.916
1.524 1.524 -5.916
Ir Ru Pb
1 1 1
Direct
0.000 0.000 0.000 Ir
0.622 0.622 0.000 Ru
0.309 0.309 0.000 Pb


Record 4
PrErZnIr PBE-GGA optimized geometry; theoretical density = 10.5 g/cm3; calculated formation energy = -0.53 eV/atom; symmetry = F-43m; magnetization = 0.00 μB per cell
1.0
0.000 3.547 3.547
3.547 0.000 3.547
3.547 3.547 0.000
Pr Er Zn Ir
1 1 1 1
Direct
0.000 0.000 0.000 Pr
0.500 0.500 0.500 Er
0.750 0.750 0.750 Zn
0.250 0.250 0.250 Ir


Record 5
BaCe2TcO8 PBE-GGA optimized geometry; theoretical density = 5.6 g/cm3; formation energy without anion corrections = -2.48 eV per atom; symmetry = P-1; magnetization = 1.04 μB per cell
1.0
5.145 0.000 0.000
0.069 5.155 0.000
0.337 0.124 7.183
Ba Ce Tc O
1 2 1 8
Direct
0.000 0.000 0.000 Ba
0.480 0.498 0.255 Ce
0.520 0.502 0.745 Ce
0.000 0.000 0.500 Tc
0.187 0.822 0.677 O
0.219 0.838 0.303 O
0.267 0.293 0.503 O
0.290 0.391 0.997 O
0.710 0.609 0.003 O
0.733 0.707 0.497 O
0.781 0.162 0.697 O
0.813 0.178 0.323 O


Record 6
USbRhS PBE-GGA optimized geometry; theoretical density = 10.0 g/cm3; formation energy without anion corrections = -0.77 eV per atom; symmetry = P4/nmm; magnetization = 4.96 μB per cell
1.0
4.380 0.000 0.000
0.000 4.380 0.000
0.000 0.000 8.569
U Sb Rh S
2 2 2 2
Direct
0.250 0.250 0.189 U
0.750 0.750 0.811 U
0.250 0.250 0.673 Sb
0.750 0.750 0.327 Sb
0.250 0.750 0.500 Rh
0.750 0.250 0.500 Rh
0.250 0.750 0.000 S
0.750 0.250 0.000 S


Record 7
Li2NiAu PBE-GGA optimized geometry; theoretical density = 8.0 g/cm3; calculated formation energy = -0.17 eV/atom; symmetry = Pm; magnetization = 0.00 μB per cell
1.0
2.668 0.000 0.000
0.000 4.087 0.000
-0.937 0.000 5.132
Li Ni Au
2 1 1
Direct
0.000 0.000 0.000 Li
0.403 0.500 0.263 Li
0.902 0.000 0.503 Ni
0.463 0.500 0.753 Au


Record 8
CaLaTl4 PBE-GGA optimized geometry; theoretical density = 9.2 g/cm3; calculated formation energy = -0.28 eV/atom; symmetry = Pm; magnetization = 0.00 μB per cell; energy relative to the lowest polymorph listed for this composition = 0.0 meV per atom
1.0
3.766 0.000 0.000
0.000 5.083 0.000
-0.008 0.000 9.437
Ca La Tl
1 1 4
Direct
0.000 0.000 0.000 Ca
0.918 0.500 0.501 La
0.347 0.000 0.332 Tl
0.352 0.000 0.669 Tl
0.570 0.500 0.836 Tl
0.575 0.500 0.166 Tl


Record 9
TbSnAu PBE-GGA optimized geometry; theoretical density = 11.0 g/cm3; calculated formation energy = -0.83 eV/atom; symmetry = P6_3mc; magnetization = 0.00 μB per cell
1.0
4.718 0.000 0.000
-2.359 4.086 0.000
0.000 0.000 7.464
Tb Sn Au
2 2 2
Direct
0.000 0.000 0.000 Tb
0.000 0.000 0.500 Tb
0.333 0.667 0.226 Sn
0.667 0.333 0.726 Sn
0.333 0.667 0.827 Au
0.667 0.333 0.327 Au


Record 10
RbZrAg2 PBE-GGA optimized geometry; theoretical density = 5.3 g/cm3; calculated formation energy = 0.76 eV/atom; symmetry = I-42d; magnetization = 1.80 μB per cell; energy relative to the lowest polymorph listed for this composition = 66.6 meV per atom
1.0
-4.102 4.102 3.683
4.102 -4.102 3.683
4.102 4.102 -3.683
Rb Zr Ag
2 2 4
Direct
0.000 0.000 0.000 Rb
0.750 0.250 0.500 Rb
0.250 0.750 0.500 Zr
0.500 0.500 0.000 Zr
0.174 0.625 0.049 Ag
0.375 0.424 0.549 Ag
0.576 0.125 0.951 Ag
0.875 0.826 0.451 Ag


Record 11
TcSbSe2 PBE-GGA optimized geometry; theoretical density = 5.9 g/cm3; formation energy without anion corrections = 0.27 eV per atom; symmetry = I-42d; magnetization = 0.00 μB per cell
1.0
-3.287 3.287 4.952
3.287 -3.287 4.952
3.287 3.287 -4.952
Tc Sb Se
2 2 4
Direct
0.000 0.000 0.000 Tc
0.750 0.250 0.500 Tc
0.250 0.750 0.500 Sb
0.500 0.500 0.000 Sb
0.060 0.625 0.935 Se
0.375 0.310 0.435 Se
0.690 0.125 0.065 Se
0.875 0.940 0.565 Se


Record 12
CeAgCl PBE-GGA optimized geometry; theoretical density = 6.0 g/cm3; formation energy without anion corrections = -0.95 eV per atom; symmetry = R-3m; magnetization = 2.79 μB per cell
1.0
2.380 1.374 7.976
-2.380 1.374 7.976
0.000 -2.748 7.976
Ce Ag Cl
2 2 2
Direct
0.076 0.076 0.076 Ce
0.924 0.924 0.924 Ce
0.339 0.339 0.339 Ag
0.661 0.661 0.661 Ag
0.206 0.206 0.206 Cl
0.794 0.794 0.794 Cl


Q: Number 12 is which compound?
A: CeAgCl